First-principles (PBE) data for BeNbSbPIr after structural relaxation, as listed in Alexandria via LeMat-Bulk.

Properties
- SG: No. 8
- Formation energy (no corrections): -0.258 eV per atom

Cell: 5.199 3.620 8.629 Å, 90.00 103.89 90.00°
Fractional coordinates of all 10 atoms:
Sb: 0.397 0.000 0.222
Sb: 0.397 0.500 0.722
Nb: 0.806 0.000 0.697
Nb: 0.806 0.500 0.197
Ir: 0.184 0.000 0.468
Ir: 0.184 0.500 0.968
Be: 0.471 0.000 0.942
Be: 0.471 0.500 0.442
P: 0.884 0.000 0.994
P: 0.884 0.500 0.494

=====

First-principles (PBE) data for Fe3Ge after structural relaxation, as listed in Alexandria via LeMat-Bulk.

Properties
- SG: No. 25
- Formation energy from the elements: 0.29 eV per atom

Cell: 2.571 2.569 7.774 Å, 90.00 90.00 90.00°
Fractional coordinates of all 4 atoms:
Ge: 0.000 0.000 0.962
Fe: 0.000 0.500 0.477
Fe: 0.500 0.500 0.205
Fe: 0.500 0.000 0.690